[1]
VASP calculation (PBE) on Ta3PtBr after structural relaxation.

Values from the calculation:
E_tot	-7.334	eV/atom
M_tot	0.000	μB/atom
ΔE_f (raw)	1.321	eV/atom

Cell and atoms, written as CIF:
```
data_Ta3PtBr
_cell_length_a 4.962
_cell_length_b 4.962
_cell_length_c 4.962
_cell_angle_alpha 90.00
_cell_angle_beta 90.00
_cell_angle_gamma 90.00
_space_group_name_H-M_alt 'P m -3 m'
_space_group_IT_number 221
_space_group_name_Hall '-P 4 2 3'
loop_
_atom_site_label
_atom_site_type_symbol
_atom_site_fract_x
_atom_site_fract_y
_atom_site_fract_z
Ta1 Ta 0.000 0.000 0.500
Pt1 Pt 0.000 0.000 0.000
Br1 Br 0.500 0.500 0.500
```

---

[2]
VASP calculation (PBE) on LaTb2Ge4 after structural relaxation.

Values from the calculation:
E_tot	-5.460	eV/atom
energy of formation from the pure elements	-0.79	eV per atom
M_tot	0.000	μB/atom

Cell and atoms, written as CIF:
```
data_LaTb2Ge4
_cell_length_a 4.068
_cell_length_b 4.389
_cell_length_c 18.388
_cell_angle_alpha 90.00
_cell_angle_beta 90.00
_cell_angle_gamma 90.00
_space_group_name_H-M_alt 'I m m m'
_space_group_IT_number 71
_space_group_name_Hall '-I 2 2'
loop_
_atom_site_label
_atom_site_type_symbol
_atom_site_fract_x
_atom_site_fract_y
_atom_site_fract_z
La1 La 0.000 0.000 0.000
Tb1 Tb 0.000 0.500 0.319
Ge1 Ge 0.000 0.000 0.431
Ge2 Ge 0.000 0.500 0.159
```

---

[3]
VASP calculation (PBE) on MnCdFe2 after structural relaxation.

Values from the calculation:
E_tot	-6.403	eV/atom
energy of formation from the pure elements	0.35	eV per atom
M_tot	2.168	μB/atom

Cell and atoms, written as CIF:
```
data_MnCdFe2
_cell_length_a 2.8158
_cell_length_b 2.8158
_cell_length_c 25.9635
_cell_angle_alpha 90.00
_cell_angle_beta 90.00
_cell_angle_gamma 120.00
_space_group_name_H-M_alt 'R 3 m'
_space_group_IT_number 160
_space_group_name_Hall 'R 3 -2"'
loop_
_atom_site_label
_atom_site_type_symbol
_atom_site_fract_x
_atom_site_fract_y
_atom_site_fract_z
Mn1 Mn 0.0000 0.0000 0.0000
Cd1 Cd 0.0000 0.0000 0.7614
Fe1 Fe 0.0000 0.0000 0.2559
Fe2 Fe 0.0000 0.0000 0.5201
```